(1)
First-principles (GGA-PBE) data for crystalline GdAlCo2 at its relaxed geometry, as listed in Alexandria.

The calculated formation energy comes out at -201 meV/atom.

The structure belongs to space group P4/mmm (No. 123); the cell edges are 3.096, 3.096 and 6.358 Å and the angles 90.00°, 90.00° and 90.00°. Symmetry generates all atoms from Gd at (0.000, 0.000, 0.000), Al at (0.000, 0.000, 0.500) and Co at (0.500, 0.500, 0.296).



(2)
First-principles (GGA-PBE) data for crystalline TeRu2Cl at its relaxed geometry, as listed in Alexandria.

The excess energy over the best structure of this formula in the dataset is 631 meV per atom. The uncorrected formation energy comes out at 0.77 eV/atom.

The structure belongs to space group C2/m (No. 12); the cell edges are 6.077, 8.600 and 3.072 Å and the angles 90.00°, 118.00° and 90.00°. Symmetry generates all atoms from Te at (0.000, 0.000, 0.000), Ru at (0.250, 0.250, 0.000) and Cl at (0.000, 0.500, 0.000).



(3)
First-principles (GGA-PBE) data for crystalline KScC at its relaxed geometry, as listed in Alexandria.

The calculated formation energy comes out at 387 meV/atom. The excess energy over the best structure of this formula in the dataset is 426 meV per atom.

The structure belongs to space group P1 (No. 1); the cell edges are 3.328, 6.322 and 7.239 Å and the angles 82.18°, 89.93° and 74.77°. Symmetry generates all atoms from K at (0.000, 0.000, 0.000), K at (0.266, 0.499, 0.761), Sc at (0.504, 0.023, 0.463), Sc at (0.748, 0.537, 0.352), C at (0.132, 0.771, 0.383) and C at (0.902, 0.227, 0.551).



(4)
First-principles (GGA-PBE) data for crystalline SrGdSn4 at its relaxed geometry, as listed in Alexandria.

The calculated formation energy comes out at -371 meV/atom.

The structure belongs to space group F-43m (No. 216); the cell edges are 8.902, 8.902 and 8.902 Å and the angles 90.00°, 90.00° and 90.00°. Symmetry generates all atoms from Sr at (0.000, 0.000, 0.000), Gd at (0.250, 0.250, 0.750) and Sn at (0.124, 0.124, 0.376).



(5)
First-principles (GGA-PBE) data for crystalline LiAcTlSi at its relaxed geometry, as listed in Alexandria.

The uncorrected formation energy comes out at -0.17 eV/atom.

The structure belongs to space group F-43m (No. 216); the cell edges are 7.514, 7.514 and 7.514 Å and the angles 90.00°, 90.00° and 90.00°. Symmetry generates all atoms from Li at (0.000, 0.000, 0.000), Ac at (0.000, 0.000, 0.500), Tl at (0.250, 0.250, 0.750) and Si at (0.250, 0.250, 0.250).



(6)
First-principles (GGA-PBE) data for crystalline Zr2UCu at its relaxed geometry, as listed in Alexandria.

The calculated formation energy comes out at 167 meV/atom. The excess energy over the best structure of this formula in the dataset is 88 meV per atom.

The structure belongs to space group P4/mmm (No. 123); the cell edges are 5.077, 5.077 and 3.072 Å and the angles 90.00°, 90.00° and 90.00°. Symmetry generates all atoms from Zr at (0.000, 0.500, 0.000), U at (0.000, 0.000, 0.500) and Cu at (0.500, 0.500, 0.500).



(7)
First-principles (GGA-PBE) data for crystalline BiPtW2 at its relaxed geometry, as listed in Alexandria.

The calculated formation energy comes out at 1500 meV/atom.

The structure belongs to space group I-42d (No. 122); the cell edges are 6.015, 6.015 and 12.033 Å and the angles 90.00°, 90.00° and 90.00°. Symmetry generates all atoms from Bi at (0.000, 0.000, 0.000), Pt at (0.000, 0.000, 0.500) and W at (0.201, 0.250, 0.625).



(8)
First-principles (GGA-PBE) data for crystalline FeAsSeBr2 at its relaxed geometry, as listed in Alexandria.

The excess energy over the best structure of this formula in the dataset is 228 meV per atom. The uncorrected formation energy comes out at 0.65 eV/atom.

The structure belongs to space group P4/mmm (No. 123); the cell edges are 5.184, 5.184 and 5.261 Å and the angles 90.00°, 90.00° and 90.00°. Symmetry generates all atoms from Fe at (0.000, 0.000, 0.000), As at (0.500, 0.500, 0.500), Se at (0.500, 0.500, 0.000) and Br at (0.000, 0.500, 0.500).



(9)
First-principles (GGA-PBE) data for crystalline ZrTa4Pb at its relaxed geometry, as listed in Alexandria.

The calculated formation energy comes out at 278 meV/atom.

The structure belongs to space group F-43m (No. 216); the cell edges are 7.929, 7.929 and 7.929 Å and the angles 90.00°, 90.00° and 90.00°. Symmetry generates all atoms from Zr at (0.000, 0.000, 0.000), Ta at (0.127, 0.127, 0.373) and Pb at (0.250, 0.250, 0.750).



(10)
First-principles (GGA-PBE) data for crystalline SmSiS4 at its relaxed geometry, as listed in Alexandria.

The uncorrected formation energy comes out at -1.03 eV/atom.

The structure belongs to space group P2_1/m (No. 11); the cell edges are 5.720, 8.989 and 5.721 Å and the angles 90.00°, 100.18° and 90.00°. Symmetry generates all atoms from Sm at (0.131, 0.250, 0.130), Si at (0.376, 0.750, 0.378), S at (0.191, 0.567, 0.193), S at (0.260, 0.250, 0.647) and S at (0.351, 0.750, 0.742).



(11)
First-principles (GGA-PBE) data for crystalline PrHoTeAs at its relaxed geometry, as listed in Alexandria.

The uncorrected formation energy comes out at -1.45 eV/atom.

The structure belongs to space group R3m (No. 160, hexagonal axes); the cell edges are 4.2120, 4.2120 and 22.5216 Å and the angles 90.00°, 90.00° and 120.00°. Symmetry generates all atoms from Pr at (0.0000, 0.0000, 0.0000), Ho at (0.0000, 0.0000, 0.1891), Te at (0.0000, 0.0000, 0.4312) and As at (0.0000, 0.0000, 0.5917).



(12)
First-principles (GGA-PBE) data for crystalline K2SmCd2Se4 at its relaxed geometry, as listed in Alexandria.

The uncorrected formation energy comes out at -1.09 eV/atom.

The structure belongs to space group C2/m (No. 12); the cell edges are 16.710, 4.232 and 8.353 Å and the angles 90.00°, 113.96° and 90.00°. Symmetry generates all atoms from K at (0.126, 0.000, 0.060), Sm at (0.000, 0.000, 0.500), Cd at (0.188, 0.500, 0.517), Se at (0.022, 0.500, 0.271) and Se at (0.191, 0.000, 0.729).



(13)
First-principles (GGA-PBE) data for crystalline TmHfAs2 at its relaxed geometry, as listed in Alexandria.

The calculated formation energy comes out at -1239 meV/atom. The excess energy over the best structure of this formula in the dataset is 0 meV per atom.

The structure belongs to space group R-3m (No. 166, hexagonal axes); the cell edges are 3.9180, 3.9180 and 19.4432 Å and the angles 90.00°, 90.00° and 120.00°. Symmetry generates all atoms from Tm at (0.0000, 0.0000, 0.0000), Hf at (0.0000, 0.0000, 0.5000) and As at (0.0000, 0.0000, 0.2458).



(14)
First-principles (GGA-PBE) data for crystalline ReSiIrCl2 at its relaxed geometry, as listed in Alexandria.

The uncorrected formation energy comes out at 1.08 eV/atom.

The structure belongs to space group P4/mmm (No. 123); the cell edges are 4.567, 4.567 and 5.033 Å and the angles 90.00°, 90.00° and 90.00°. Symmetry generates all atoms from Re at (0.000, 0.000, 0.000), Si at (0.500, 0.500, 0.500), Ir at (0.000, 0.000, 0.500) and Cl at (0.000, 0.500, 0.000).



(15)
First-principles (GGA-PBE) data for crystalline Ce2Tl3Sn3 at its relaxed geometry, as listed in Alexandria.

The calculated formation energy comes out at -395 meV/atom. The excess energy over the best structure of this formula in the dataset is 5 meV per atom.

The structure belongs to space group Pmmm (No. 47); the cell edges are 4.755, 4.842 and 9.449 Å and the angles 90.00°, 90.00° and 90.00°. Symmetry generates all atoms from Ce at (0.000, 0.000, 0.244), Tl at (0.000, 0.500, 0.500), Tl at (0.500, 0.500, 0.250), Sn at (0.000, 0.500, 0.000), Sn at (0.500, 0.000, 0.000) and Sn at (0.500, 0.000, 0.500).



(16)
First-principles (GGA-PBE) data for crystalline Mg2Zn5Ga4 at its relaxed geometry, as listed in Alexandria.

The calculated formation energy comes out at -9 meV/atom.

The structure belongs to space group Immm (No. 71); the cell edges are 5.057, 7.929 and 10.097 Å and the angles 90.00°, 90.00° and 90.00°. Symmetry generates all atoms from Mg at (0.000, 0.200, 0.000), Zn at (0.000, 0.500, 0.500), Zn at (0.249, 0.000, 0.368) and Ga at (0.000, 0.288, 0.309).



(17)
First-principles (GGA-PBE) data for crystalline SrP2W at its relaxed geometry, as listed in Alexandria.

The calculated formation energy comes out at 979 meV/atom. The excess energy over the best structure of this formula in the dataset is 1457 meV per atom.

The structure belongs to space group F-43m (No. 216); the cell edges are 6.666, 6.666 and 6.666 Å and the angles 90.00°, 90.00° and 90.00°. Symmetry generates all atoms from Sr at (0.000, 0.000, 0.000), P at (0.000, 0.000, 0.500), P at (0.250, 0.250, 0.250) and W at (0.250, 0.250, 0.750).



(18)
First-principles (GGA-PBE) data for crystalline Cs3KPd at its relaxed geometry, as listed in Alexandria.

The calculated formation energy comes out at 68 meV/atom. The excess energy over the best structure of this formula in the dataset is 25 meV per atom.

The structure belongs to space group Pm-3m (No. 221); the cell edges are 7.075, 7.075 and 7.075 Å and the angles 90.00°, 90.00° and 90.00°. Symmetry generates all atoms from Cs at (0.000, 0.000, 0.500), K at (0.500, 0.500, 0.500) and Pd at (0.000, 0.000, 0.000).



(19)
First-principles (GGA-PBE) data for crystalline AsPPd6 at its relaxed geometry, as listed in Alexandria.

The calculated formation energy comes out at -294 meV/atom.

The structure belongs to space group R-3 (No. 148, hexagonal axes); the cell edges are 5.8696, 5.8696 and 13.1510 Å and the angles 90.00°, 90.00° and 120.00°. Symmetry generates all atoms from As at (0.0000, 0.0000, 0.0000), P at (0.0000, 0.0000, 0.5000) and Pd at (0.0151, 0.7198, 0.2470).



(20)
First-principles (GGA-PBE) data for crystalline Zr2TlCd at its relaxed geometry, as listed in Alexandria.

The calculated formation energy comes out at -108 meV/atom.

The structure belongs to space group P4/mmm (No. 123); the cell edges are 4.492, 4.492 and 4.403 Å and the angles 90.00°, 90.00° and 90.00°. Symmetry generates all atoms from Zr at (0.000, 0.500, 0.000), Tl at (0.000, 0.000, 0.500) and Cd at (0.500, 0.500, 0.500).